DFT (PBE) results for a relaxed structure of SrZn3Ru.

Properties
- formation energy from the elements (kJ per mole of atoms) = 164

Cell lengths 5.605, 5.605, 5.605 Å; angles 90.00, 90.00, 90.00 degrees
Site moments in Bohr magnetons follow the coordinates.
Element x y z (fractional)
Zn: 0.500 0.000 0.000  -0.01
Zn: 0.000 0.000 0.500  -0.02
Zn: 0.000 0.500 0.000  -0.03
Ru: 0.500 0.500 0.500  2.52
Sr: 0.000 0.000 0.000  -0.06

DFT (PBE) results for a relaxed structure of SrZnRu.

Properties
- formation energy from the elements (kJ per mole of atoms) = 121

Cell lengths 4.870, 4.870, 4.870 Å; angles 60.00, 60.00, 60.00 degrees
Site moments in Bohr magnetons follow the coordinates.
Element x y z (fractional)
Sr: 0.750 0.750 0.750  0.02
Zn: 0.000 0.000 0.000  0.00
Ru: 0.500 0.500 0.500  1.23

DFT (PBE) results for a relaxed structure of SrZnRu.

Properties
- formation energy from the elements (kJ per mole of atoms) = 51

Cell lengths 4.625, 4.625, 4.625 Å; angles 60.00, 60.00, 60.00 degrees
Element x y z (fractional)
Zn: 0.500 0.500 0.500
Sr: 0.000 0.000 0.000
Ru: 0.750 0.750 0.750

DFT (PBE) results for a relaxed structure of SrZn2Ru2.

Properties
- formation energy from the elements (kJ per mole of atoms) = 11

Cell lengths 4.556, 4.556, 5.724 Å; angles 66.55, 66.55, 90.00 degrees
Element x y z (fractional)
Zn: 0.750 0.250 0.500
Zn: 0.250 0.750 0.500
Ru: 0.378 0.378 0.245
Ru: 0.622 0.622 0.755
Sr: 0.000 0.000 0.000

DFT (PBE) results for a relaxed structure of SrZnRu.

Properties
- formation energy from the elements (kJ per mole of atoms) = 14

Cell lengths 6.322, 7.919, 6.340 Å; angles 90.00, 90.00, 113.53 degrees
Site moments in Bohr magnetons follow the coordinates.
Element x y z (fractional)
Ru: 0.089 0.178 0.000  0.91
Ru: 0.589 0.178 0.500  0.91
Ru: 0.411 0.822 0.500  0.91
Ru: 0.911 0.822 0.000  0.91
Sr: 0.167 0.335 0.500  0.02
Sr: 0.833 0.665 0.500  0.02
Sr: 0.333 0.665 0.000  0.02
Sr: 0.667 0.335 0.000  0.02
Zn: 0.750 0.000 0.250  -0.02
Zn: 0.250 0.000 0.250  -0.02
Zn: 0.750 0.000 0.750  -0.02
Zn: 0.250 0.000 0.750  -0.02

DFT (PBE) results for a relaxed structure of SrZn3Ru.

Properties
- formation energy from the elements (kJ per mole of atoms) = -14

Cell lengths 5.178, 6.309, 6.942 Å; angles 62.97, 88.17, 89.99 degrees
Element x y z (fractional)
Ru: 0.037 0.754 0.218
Ru: 0.653 0.970 0.785
Sr: 0.345 0.213 0.299
Sr: 0.345 0.511 0.704
Zn: 0.845 0.862 0.501
Zn: 0.525 0.765 0.197
Zn: 0.845 0.362 0.502
Zn: 0.845 0.560 0.002
Zn: 0.845 0.164 0.001
Zn: 0.165 0.959 0.806

DFT (PBE) results for a relaxed structure of SrZnRu.

Properties
- formation energy from the elements (kJ per mole of atoms) = 12

Cell lengths 5.835, 5.835, 3.493 Å; angles 72.58, 72.59, 34.83 degrees
Element x y z (fractional)
Zn: 0.615 0.615 0.385
Sr: 0.337 0.337 0.663
Ru: 0.048 0.048 0.952

DFT (PBE) results for a relaxed structure of Sr3ZnRu.

Properties
- formation energy from the elements (kJ per mole of atoms) = 28

Cell lengths 5.710, 5.710, 5.710 Å; angles 90.00, 90.00, 90.00 degrees
Element x y z (fractional)
Sr: 0.000 0.500 0.000
Sr: 0.500 0.000 0.000
Sr: 0.000 0.000 0.500
Zn: 0.500 0.500 0.500
Ru: 0.000 0.000 0.000

DFT (PBE) results for a relaxed structure of SrZn2Ru2.

Properties
- formation energy from the elements (kJ per mole of atoms) = 17

Cell lengths 7.747, 7.747, 2.929 Å; angles 90.00, 90.00, 90.00 degrees
Element x y z (fractional)
Ru: 0.115 0.385 0.000
Ru: 0.615 0.115 0.000
Ru: 0.385 0.885 0.000
Ru: 0.885 0.615 0.000
Zn: 0.827 0.327 0.500
Zn: 0.673 0.827 0.500
Zn: 0.173 0.673 0.500
Zn: 0.327 0.173 0.500
Sr: 0.500 0.500 0.000
Sr: 0.000 0.000 0.000

DFT (PBE) results for a relaxed structure of SrZn3Ru.

Properties
- formation energy from the elements (kJ per mole of atoms) = -11

Cell lengths 4.852, 4.852, 4.852 Å; angles 90.00, 90.00, 90.00 degrees
Element x y z (fractional)
Zn: 0.500 0.000 0.000
Zn: 0.000 0.000 0.500
Zn: 0.000 0.500 0.000
Ru: 0.000 0.000 0.000
Sr: 0.500 0.500 0.500

DFT (PBE) results for a relaxed structure of Sr2ZnRu2.

Properties
- formation energy from the elements (kJ per mole of atoms) = 23

Cell lengths 6.874, 6.874, 4.882 Å; angles 90.00, 90.00, 90.00 degrees
Site moments in Bohr magnetons follow the coordinates.
Element x y z (fractional)
Zn: 0.500 0.500 0.000  -0.01
Zn: 0.000 0.000 0.000  -0.01
Ru: 0.123 0.377 0.000  0.43
Ru: 0.377 0.877 0.000  0.43
Ru: 0.877 0.623 0.000  0.43
Ru: 0.623 0.123 0.000  0.43
Sr: 0.679 0.821 0.500  0.00
Sr: 0.821 0.321 0.500  0.00
Sr: 0.321 0.179 0.500  0.00
Sr: 0.179 0.679 0.500  0.00

DFT (PBE) results for a relaxed structure of Sr2Zn4Ru.

Properties
- formation energy from the elements (kJ per mole of atoms) = -7

Cell lengths 4.871, 4.871, 8.663 Å; angles 73.67, 73.67, 90.00 degrees
Element x y z (fractional)
Sr: 0.361 0.361 0.278
Sr: 0.639 0.639 0.722
Ru: 0.000 0.000 0.000
Zn: 0.500 0.000 0.000
Zn: 0.000 0.500 0.000
Zn: 0.152 0.152 0.695
Zn: 0.848 0.848 0.305

DFT (PBE) results for a relaxed structure of SrZrRu.

Properties
- formation energy from the elements (kJ per mole of atoms) = 33

Cell lengths 4.770, 4.770, 4.770 Å; angles 60.00, 60.00, 60.00 degrees
Element x y z (fractional)
Zr: 0.500 0.500 0.500
Ru: 0.750 0.750 0.750
Sr: 0.000 0.000 0.000

DFT (PBE) results for a relaxed structure of SrZrRu.

Properties
- formation energy from the elements (kJ per mole of atoms) = 149

Cell lengths 4.705, 4.705, 4.705 Å; angles 60.00, 60.00, 60.00 degrees
Element x y z (fractional)
Ru: 0.500 0.500 0.500
Sr: 0.750 0.750 0.750
Zr: 0.000 0.000 0.000

What are the uncorrected energy values for these records? In order: -1.260 -2.827 -3.551 -4.445 -3.928 -3.099 -3.948 -2.824 -4.382 -3.068 -4.398 -2.604 -6.161 -4.962 eV per atom.